This record from Alexandria via LeMat-Bulk describes crystalline Ce2InNi2Rh5 at its relaxed geometry. The functional is PBE-GGA.

Cell lengths 9.2293, 9.2293, 3.9469 Å; angles 90.00, 90.00, 90.00 degrees
Closest atoms and distances in Å follow each position.
Space group P4/mbm (No. 127)
Unique sites:
Ce (0.1740, 0.3260, 0.0000) x4  3 Ni 2.65-2.78
In (0.0000, 0.0000, 0.0000) x2  8 Rh 2.84
Ni (0.1226, 0.6226, 0.0000) x4  6 Rh 2.54-2.55, 3 Ce 2.65-2.78
Rh (0.0000, 0.5000, 0.5000) x2  4 Ni 2.54, 4 Rh 2.77
Rh (0.0740, 0.7908, 0.5000) x8  2 Ni 2.55, 2 Rh 2.77-2.83, 2 In 2.84

Summary:
Electronic total energy   -6.855 eV/atom



This record from Alexandria via LeMat-Bulk describes crystalline NdY6Ho2 at its relaxed geometry. The functional is PBE-GGA.

Cell lengths 12.6047, 3.6968, 13.2547 Å; angles 90.00, 107.52, 90.00 degrees
Closest atoms and distances in Å follow each position.
Space group C2/m (No. 12)
Unique sites:
Nd (0.0000, 0.0000, 0.0000) x2  6 Y 3.67-3.69, 2 Nd 3.70, 4 Ho 3.85
Y (0.0364, 0.0000, 0.6873) x4  8 Y 3.40-3.70, 3 Ho 3.46-3.56
Y (0.1459, 0.5000, 0.5226) x4  9 Y 3.41-3.70, 3 Ho 3.68
Y (0.1954, 0.5000, 0.8923) x4  6 Y 3.33-3.70, 2 Ho 3.47, 3 Nd 3.67-3.69
Ho (0.1687, 0.5000, 0.2525) x4  8 Y 3.46-3.68, 2 Ho 3.70, 2 Nd 3.85

Summary:
Electronic total energy   -5.796 eV/atom



This record from Alexandria via LeMat-Bulk describes crystalline MnGaBRuSe at its relaxed geometry. The functional is PBE-GGA.

Cell lengths 7.7260, 2.9998, 5.8955 Å; angles 90.00, 91.96, 90.00 degrees
Closest atoms and distances in Å follow each position.
Space group Cm (No. 8)
Unique sites:
Mn (0.0000, 0.0000, 0.0000) x2  2 B 2.18, 3 Se 2.34-2.35
Ga (0.0047, 0.0000, 0.5329) x2  2 B 2.35, 2 Ru 2.62
B (0.0846, 0.5000, 0.2485) x2  2 Mn 2.18, 3 Ru 2.19-2.30, 2 Ga 2.35
Ru (0.2897, 0.0000, 0.2913) x2  3 B 2.19-2.30
Se (0.2854, 0.0000, 0.8740) x2  3 Mn 2.34-2.35, 1 Ru 2.46

Summary:
Electronic total energy   -6.366 eV/atom
Formation energy without anion corrections   -0.039 eV per atom



This record from Alexandria via LeMat-Bulk describes crystalline La2InHAu at its relaxed geometry. The functional is PBE-GGA.

Cell lengths 6.1039, 6.1039, 3.7840 Å; angles 90.00, 90.00, 90.00 degrees
Closest atoms and distances in Å follow each position.
Space group P4/mmm (No. 123)
Unique sites:
La (0.0000, 0.5000, 0.0000) x2  2 In 3.05
In (0.0000, 0.0000, 0.0000) x1  2 H 1.89
H (0.0000, 0.0000, 0.5000) x1  2 In 1.89
Au (0.5000, 0.5000, 0.5000) x1  8 La 3.59, 2 Au 3.78

Summary:
Electronic total energy   -3.664 eV/atom



This record from Alexandria via LeMat-Bulk describes crystalline Er7Ag2Te2 at its relaxed geometry. The functional is PBE-GGA.

Cell lengths 4.0579, 15.5053, 9.6509 Å; angles 90.00, 90.00, 90.00 degrees
Closest atoms and distances in Å follow each position.
Space group Imm2 (No. 44)
Unique sites:
Er (0.0000, 0.0000, 0.0000) x2  3 Te 3.24-3.27
Er (0.0000, 0.1248, 0.4118) x4  2 Ag 2.97, 3 Te 3.09-3.16
Er (0.0000, 0.3165, 0.6234) x4  3 Ag 2.91-3.17, 1 Te 3.14
Er (0.0000, 0.3605, 0.2546) x4  2 Ag 3.00, 2 Te 3.10
Ag (0.0000, 0.2355, 0.9244) x4  7 Er 2.91-3.17
Te (0.0000, 0.0000, 0.6607) x2  7 Er 3.09-3.27
Te (0.0000, 0.5000, 0.7618) x2  8 Er 3.14-3.24

Summary:
Electronic total energy   -4.563 eV/atom
Formation energy without anion corrections   -0.570 eV per atom



This record from Alexandria via LeMat-Bulk describes crystalline AcTbNdTl at its relaxed geometry. The functional is PBE-GGA.

Cell lengths 8.0399, 8.0399, 8.0399 Å; angles 90.00, 90.00, 90.00 degrees
Closest atoms and distances in Å follow each position.
Space group F-43m (No. 216)
Unique sites:
Ac (0.0000, 0.0000, 0.0000) x4  4 Nd 3.48, 4 Tb 3.48
Tb (0.2500, 0.2500, 0.7500) x4  4 Ac 3.48, 4 Tl 3.48
Nd (0.2500, 0.2500, 0.2500) x4  4 Tl 3.48, 4 Ac 3.48
Tl (0.0000, 0.0000, 0.5000) x4  4 Tb 3.48, 4 Nd 3.48

Summary:
Electronic total energy   -3.956 eV/atom



This record from Alexandria via LeMat-Bulk describes crystalline LiNd2Si3Ni4 at its relaxed geometry. The functional is PBE-GGA.

Cell lengths 4.0718, 4.0718, 9.5433 Å; angles 90.00, 90.00, 90.00 degrees
Closest atoms and distances in Å follow each position.
Space group P-4m2 (No. 115)
Unique sites:
Li (0.0000, 0.0000, 0.0000) x1  4 Ni 2.38
Nd (0.0000, 0.5000, 0.7494) x2  8 Ni 3.10-3.13, 6 Si 3.11-3.14, 2 Li 3.14
Si (0.0000, 0.5000, 0.3751) x2  5 Ni 2.34-2.36
Si (0.5000, 0.5000, 0.0000) x1  4 Ni 2.38
Ni (0.0000, 0.0000, 0.5000) x1  4 Si 2.36
Ni (0.0000, 0.5000, 0.1294) x2  3 Si 2.34-2.38, 2 Li 2.38
Ni (0.5000, 0.5000, 0.5000) x1  4 Si 2.36

Summary:
Electronic total energy   -5.750 eV/atom
Formation energy without anion corrections   -0.666 eV per atom



What is the electronic total energy in the sixth record?
-3.956 eV/atom



Which value of electronic total energy does entry 7 give?
-5.750 eV/atom



What is the electronic total energy in the first record?
-6.855 eV/atom



Which of these has the lowest electronic total energy?
Ce2InNi2Rh5